## LiYErAg (PBE)

Data for crystalline LiYErAg at its relaxed geometry.

Unit cell a=3.675 b=5.092 c=5.138 alpha=90.00 beta=90.00 gamma=90.00
Fractional coordinates of all 4 atoms:
Li (0.000, 0.000, 0.000)
Y (0.500, 0.500, 0.000)
Er (0.500, 0.000, 0.500)
Ag (0.000, 0.500, 0.500)

=====

## LiYErAg (PBE)

Data for crystalline LiYErAg at its relaxed geometry.

Unit cell a=7.274 b=7.274 c=7.274 alpha=90.00 beta=90.00 gamma=90.00
Fractional coordinates of all 16 atoms:
Li (0.000, 0.000, 0.000)
Li (0.000, 0.500, 0.500)
Li (0.500, 0.000, 0.500)
Li (0.500, 0.500, 0.000)
Y (0.250, 0.250, 0.250)
Y (0.250, 0.750, 0.750)
Y (0.750, 0.250, 0.750)
Y (0.750, 0.750, 0.250)
Er (0.250, 0.250, 0.750)
Er (0.250, 0.750, 0.250)
Er (0.750, 0.250, 0.250)
Er (0.750, 0.750, 0.750)
Ag (0.000, 0.000, 0.500)
Ag (0.000, 0.500, 0.000)
Ag (0.500, 0.000, 0.000)
Ag (0.500, 0.500, 0.500)

=====

## LiErZn2Ag4 (PBE)

Data for crystalline LiErZn2Ag4 at its relaxed geometry.

Unit cell a=8.088 b=8.088 c=8.088 alpha=33.38 beta=33.38 gamma=33.38
Fractional coordinates of all 8 atoms:
Li (0.000, 0.000, 0.000)
Er (0.500, 0.500, 0.500)
Zn (0.247, 0.247, 0.247)
Zn (0.753, 0.753, 0.753)
Ag (0.111, 0.111, 0.111)
Ag (0.369, 0.369, 0.369)
Ag (0.631, 0.631, 0.631)
Ag (0.889, 0.889, 0.889)

=====

## Er2LuAg (PBE)

Data for crystalline Er2LuAg at its relaxed geometry.

Unit cell a=3.511 b=3.511 c=8.734 alpha=90.00 beta=90.00 gamma=90.00
Fractional coordinates of all 4 atoms:
Er (0.000, 0.000, 0.219)
Er (0.000, 0.000, 0.781)
Lu (0.500, 0.500, 0.500)
Ag (0.500, 0.500, 0.000)

=====

Magnetization values, unit μB per formula unit, following the record order: 0.0; 0.0; 0.0; 0.0.
ΔH_f (0 K) values, unit eV/atom, following the record order: -0.118; -0.108; -0.202; -0.130.